Entry from Alexandria via LeMat-Bulk: a relaxed structure of Rb2Sn2Sb (PBE-GGA).

abc: 7.0362 6.5362 10.4288
angles: 100.89 90.00 122.56
Atoms (fractional coordinates):
Rb1 0.4628 0.7118 0.8332
Rb2 0.7510 0.2882 0.6668
Rb3 0.5372 0.2882 0.1668
Rb4 0.2490 0.7118 0.3332
Sb1 0.0968 0.0000 0.7500
Sb2 0.9032 0.0000 0.2500
Sn1 0.9828 0.7358 0.9979
Sn2 0.0172 0.2642 0.0021
Sn3 0.2471 0.2642 0.5021
Sn4 0.7529 0.7358 0.4979

## Properties
As for the symmetry: C2/c, No. 15. For the density of states at the Fermi level, the calculation gives 2.0 states/eV/f.u.

***

Entry from Alexandria via LeMat-Bulk: a relaxed structure of RbSnSb (PBE-GGA).

abc: 6.7988 8.2542 8.7701
angles: 87.72 90.00 90.00
Atoms (fractional coordinates):
Sn1 0.2123 0.9981 0.4396
Sn2 0.2877 0.9981 0.9396
Sn3 0.7877 0.0019 0.5604
Sn4 0.7123 0.0019 0.0604
Sb1 0.6008 0.8021 0.3326
Sb2 0.1008 0.1979 0.1674
Sb3 0.8992 0.8021 0.8326
Sb4 0.3992 0.1979 0.6674
Rb1 0.5997 0.3392 0.2950
Rb2 0.0997 0.6608 0.2050
Rb3 0.4003 0.6608 0.7050
Rb4 0.9003 0.3392 0.7950

## Properties
As for the symmetry: P2_1/c, No. 14. For the density of states at the Fermi level, the calculation gives 0.0 states/eV/f.u.

***

Entry from Alexandria via LeMat-Bulk: a relaxed structure of RbSnSb (PBE-GGA).

abc: 4.5453 8.6023 8.2279
angles: 52.43 105.95 89.98
Atoms (fractional coordinates):
Rb1 0.4456 0.2980 0.8906
Rb2 0.5544 0.7020 0.1094
Sb1 0.1812 0.8652 0.3628
Sb2 0.8188 0.1348 0.6372
Sn1 0.8274 0.7722 0.6564
Sn2 0.1726 0.2278 0.3436

## Properties
As for the symmetry: P-1, No. 2. For the density of states at the Fermi level, the calculation gives 0.5 states/eV/f.u.

***

Entry from Alexandria via LeMat-Bulk: a relaxed structure of Rb3SnSb2 (PBE-GGA).

abc: 5.7615 10.1128 12.7032
angles: 51.48 76.89 73.45
Atoms (fractional coordinates):
Sb1 0.8839 0.4053 0.8270
Sb2 0.1161 0.5947 0.1730
Sb3 0.5909 0.2257 0.5925
Sb4 0.4091 0.7743 0.4075
Sn1 0.4329 0.4466 0.6875
Sn2 0.5671 0.5534 0.3125
Rb1 0.8091 0.8293 0.5525
Rb2 0.0628 0.0623 0.8122
Rb3 0.1909 0.1707 0.4475
Rb4 0.9372 0.9377 0.1878
Rb5 0.3198 0.3112 0.0492
Rb6 0.6802 0.6888 0.9508

## Properties
As for the symmetry: C2/m, No. 12. For the density of states at the Fermi level, the calculation gives 0.2 states/eV/f.u.

***

Entry from Alexandria via LeMat-Bulk: a relaxed structure of RbSnSb (PBE-GGA).

abc: 6.8532 4.4958 4.4958
angles: 120.00 90.00 90.00
Atoms (fractional coordinates):
Rb1 0.6586 0.6667 0.3333
Sb1 0.2738 0.3333 0.6667
Sn1 0.0676 0.0000 0.0000

## Properties
As for the symmetry: P3m1, No. 156.

***

Entry from Alexandria via LeMat-Bulk: a relaxed structure of RbSn4Sb2 (PBE-GGA).

abc: 4.3624 5.6072 12.8103
angles: 102.52 106.73 50.23
Atoms (fractional coordinates):
Sb1 0.7116 0.5379 0.7876
Sb2 0.2884 0.4621 0.2124
Sn1 0.4603 0.1184 0.6958
Sn2 0.8711 0.2897 0.4491
Sn3 0.1289 0.7103 0.5509
Sn4 0.5397 0.8816 0.3042
Rb1 0.0000 0.0000 0.0000

## Properties
As for the symmetry: P-1, No. 2. For the density of states at the Fermi level, the calculation gives 1.7 states/eV/f.u.

***

Entry from Alexandria via LeMat-Bulk: a relaxed structure of Rb3SnSb (PBE-GGA).

abc: 6.9898 6.9898 6.9898
angles: 90.00 90.00 90.00
Atoms (fractional coordinates):
Rb1 0.0000 0.0000 0.5000
Rb2 0.5000 0.0000 0.0000
Rb3 0.0000 0.5000 0.0000
Sn1 0.5000 0.5000 0.5000
Sb1 0.0000 0.0000 0.0000

## Properties
As for the symmetry: Pm-3m, No. 221. For the density of states at the Fermi level, the calculation gives 6.9 states/eV/f.u.

***

Entry from Alexandria via LeMat-Bulk: a relaxed structure of RbSn6Sb4 (PBE-GGA).

abc: 4.8962 4.8962 16.5215
angles: 98.52 98.52 90.00
Atoms (fractional coordinates):
Rb1 0.0000 0.0000 0.0000
Sb1 0.4386 0.4386 0.8772
Sb2 0.1834 0.1834 0.3669
Sb3 0.5614 0.5614 0.1228
Sb4 0.8166 0.8166 0.6331
Sn1 0.8814 0.3814 0.7628
Sn2 0.6186 0.1186 0.2372
Sn3 0.3814 0.8814 0.7628
Sn4 0.1186 0.6186 0.2372
Sn5 0.7500 0.2500 0.5000
Sn6 0.2500 0.7500 0.5000

## Properties
As for the symmetry: I4/mmm, No. 139. For the density of states at the Fermi level, the calculation gives 5.0 states/eV/f.u.

***

no.,size of the total moment (μB/cell),ΔE_f (raw) (meV/atom)
1,0.0,-153
2,0.0,-282
3,0.0,-300
4,0.0,-270
5,0.0,-329
6,0.0,-84
7,3.5,178
8,0.0,29